VASP calculation (PBE) on a geometry-optimized Pr2ThN structure.

Structure (POSCAR):
```
Pr2ThN
1.0
3.5604 0.0000 0.0000
1.7802 3.0834 0.0000
1.7802 1.0278 10.0456
Pr N Th
2 1 1
direct
0.1193 0.1193 0.6422
0.8807 0.8807 0.3578
0.5000 0.5000 0.5000
0.0000 0.0000 0.0000
```

Output
* uncorrected formation energy: -182.4 kJ/mol of formula units
* calculated total energy: -6.799 eV/atom
* spin magnetization: 0.0 μB/cell
* symmetry: R-3m, No. 166

=====

VASP calculation (PBE) on a geometry-optimized NdH2I structure.

Structure (POSCAR):
```
NdH2I
1.0
3.9615 0.0000 0.0000
1.9807 3.4307 0.0000
1.9807 1.1436 5.2529
Nd H I
1 2 1
direct
0.0000 0.0000 0.0000
0.6920 0.6920 0.9240
0.3080 0.3080 0.0760
0.5000 0.5000 0.5000
```

Output
* calculated total energy: -4.053 eV/atom
* spin magnetization: 0.0 μB/cell
* symmetry: R-3m, No. 166
* energy relative to the lowest polymorph listed for this composition: 32 meV per atom

=====

Values for mass density, g cm⁻³, ordered as above
7.9; 6.4